(1)
# Tl2Cu2Pb3Se8

A relaxed Tl2Cu2Pb3Se8 crystal (PBE, OQMD).

## Properties
As for the space group: C2/m. The value obtained for the uncorrected energy is -54.43 eV for the cell shown.

```
Tl2Cu2Pb3Se8
1.0
6.242 -2.105 0.000
6.242 2.105 0.000
-3.783 0.000 14.878
Se Tl Cu Pb
8 2 2 3
Cartesian
3.856 0.000 4.531
-0.388 0.000 2.116
9.089 0.000 12.761
7.990 0.000 1.374
0.710 0.000 13.503
4.844 0.000 10.347
0.017 0.000 6.628
8.684 0.000 8.250
7.694 0.000 4.642
1.006 0.000 10.236
-1.023 0.000 4.431
9.723 0.000 10.447
3.839 0.000 1.523
4.350 0.000 7.439
4.861 0.000 13.355
```

(2)
# TlZnAsO

A relaxed TlZnAsO crystal (PBE, OQMD).

## Properties
As for the space group: Pmc2_1. The value obtained for the uncorrected energy is -29.90 eV for the cell shown.

```
TlZnAsO
1.0
4.079 0.000 0.000
0.000 6.585 0.000
0.000 0.000 6.087
O As Zn Tl
2 2 2 2
Cartesian
2.040 0.913 5.266
2.040 5.672 2.222
0.000 4.715 5.466
0.000 1.869 2.422
2.040 0.807 3.255
2.040 5.778 0.211
0.000 2.042 5.822
0.000 4.543 2.778
```

(3)
# CsRbOs

A relaxed CsRbOs crystal (PBE, OQMD).

## Properties
The size of the total moment comes out at 2.000 μB per formula unit. As for the space group: F-43m. The value obtained for the uncorrected energy is -7.28 eV for the cell shown.

```
CsRbOs
1.0
0.000 4.030 4.030
4.030 0.000 4.030
4.030 4.030 0.000
Os Rb Cs
1 1 1
Cartesian
6.045 6.045 6.045
0.000 0.000 0.000
2.015 2.015 2.015
```

(4)
# SmCoB4

A relaxed SmCoB4 crystal (PBE, OQMD).

## Properties
The size of the total moment comes out at 0.003 μB per formula unit. As for the space group: P6/mmm. The value obtained for the uncorrected energy is -40.00 eV for the cell shown.

```
SmCoB4
1.0
-1.821 -2.385 1.049
2.502 -0.611 -1.863
3.862 -0.583 5.378
Sm B Co
1 4 1
Cartesian
0.000 0.000 0.000
3.732 -1.606 2.826
2.291 -2.197 3.797
0.812 -1.974 1.737
2.253 -1.382 0.766
1.931 -0.292 2.689
```

(5)
# FeNiMo4C2

A relaxed FeNiMo4C2 crystal (PBE, OQMD).

## Properties
The size of the total moment comes out at 1.419 μB per formula unit. As for the space group: P-6m2. The value obtained for the uncorrected energy is -74.64 eV for the cell shown.

```
FeNiMo4C2
1.0
-0.562 0.187 2.951
-1.160 -2.261 -1.612
10.383 -7.056 2.424
C Ni Mo Fe
2 1 4 1
Cartesian
6.822 -6.734 1.726
1.640 -3.212 0.516
4.430 -4.157 2.642
0.858 -1.729 1.808
3.543 -2.408 0.827
8.003 -6.585 3.476
6.840 -4.648 1.597
0.000 0.000 0.000
```

(6)
# TbPrTeO2

A relaxed TbPrTeO2 crystal (PBE, OQMD).

## Properties
The size of the total moment comes out at 0.000 μB per formula unit. As for the space group: I4mm. The value obtained for the uncorrected energy is -36.98 eV for the cell shown.

```
TbPrTeO2
1.0
-6.341 1.145 2.651
-4.151 5.595 -0.080
4.074 -4.275 -3.698
Te Tb O Pr
1 1 2 1
Cartesian
-10.471 6.727 2.566
-3.531 2.268 0.865
-2.709 2.376 -1.235
-3.804 0.151 0.131
-6.889 4.426 1.688
```

(7)
# KLiOs

A relaxed KLiOs crystal (PBE, OQMD).

## Properties
The size of the total moment comes out at 2.028 μB per formula unit. As for the space group: F-43m. The value obtained for the uncorrected energy is -8.10 eV for the cell shown.

```
KLiOs
1.0
0.000 3.492 3.492
3.492 0.000 3.492
3.492 3.492 0.000
K Li Os
1 1 1
Cartesian
0.000 0.000 0.000
1.746 1.746 1.746
5.239 5.239 5.239
```

(8)
# ZnBi2

A relaxed ZnBi2 crystal (PBE, OQMD).

## Properties
As for the space group: Fd-3m. The value obtained for the uncorrected energy is -16.40 eV for the cell shown.

```
ZnBi2
1.0
-4.165 1.877 4.625
-4.346 4.673 -1.241
-6.309 -1.481 -0.512
Zn Bi
2 4
Cartesian
0.000 0.000 0.000
-3.705 1.267 0.718
-7.180 2.229 -0.517
-7.089 0.831 2.416
-6.108 3.908 2.051
-9.262 3.167 1.795
```

(9)
# TmBiNO

A relaxed TmBiNO crystal (PBE, OQMD).

## Properties
The size of the total moment comes out at 0.003 μB per formula unit. As for the space group: Pca2_1. The value obtained for the uncorrected energy is -105.68 eV for the cell shown.

```
TmBiNO
1.0
6.893 0.000 0.000
0.000 7.506 0.000
0.000 0.000 5.553
N Bi Tm O
4 4 4 4
Cartesian
2.806 0.745 0.410
4.087 6.761 3.186
0.641 0.745 3.186
6.252 6.761 0.410
0.842 5.014 0.042
6.051 2.492 2.818
4.288 2.492 0.042
2.604 5.014 2.818
2.773 0.998 2.653
6.219 6.508 2.653
4.120 6.508 5.429
0.674 0.998 5.429
0.275 2.910 0.796
3.171 2.910 3.572
3.722 4.596 0.796
6.617 4.596 3.572
```

(10)
# Ba3SbW

A relaxed Ba3SbW crystal (PBE, OQMD).

## Properties
The size of the total moment comes out at 6.218 μB per formula unit. As for the space group: Pm-3m. The value obtained for the uncorrected energy is -18.65 eV for the cell shown.

```
Ba3SbW
1.0
6.581 0.000 0.000
0.000 6.581 0.000
0.000 0.000 6.581
Ba W Sb
3 1 1
Cartesian
0.000 0.000 3.290
3.290 0.000 0.000
0.000 3.290 0.000
3.290 3.290 3.290
0.000 0.000 0.000
```

(11)
# YMgZrCo

A relaxed YMgZrCo crystal (PBE, OQMD).

## Properties
The size of the total moment comes out at 0.011 μB per formula unit. As for the space group: F-43m. The value obtained for the uncorrected energy is -23.42 eV for the cell shown.

```
YMgZrCo
1.0
2.365 1.374 4.031
-2.451 2.023 3.692
-0.625 -2.470 4.152
Mg Y Zr Co
1 1 1 1
Cartesian
-0.533 0.695 8.907
-0.355 0.463 5.938
0.000 0.000 0.000
-0.178 0.232 2.969
```

(12)
# Sm3Y3CoTe2

A relaxed Sm3Y3CoTe2 crystal (PBE, OQMD).

## Properties
The size of the total moment comes out at 0.364 μB per formula unit. As for the space group: P-62m. The value obtained for the uncorrected energy is -52.72 eV for the cell shown.

```
Sm3Y3CoTe2
1.0
8.472 0.000 0.000
-4.236 7.337 0.000
0.000 0.000 3.894
Co Sm Te Y
1 3 2 3
Cartesian
0.000 0.000 0.000
6.467 0.000 1.947
-3.234 5.601 1.947
1.002 1.736 1.947
0.000 4.891 1.947
4.236 2.446 1.947
3.454 0.000 0.000
-1.727 2.991 0.000
2.509 4.346 0.000
```

(13)
# CsPt2O6

A relaxed CsPt2O6 crystal (PBE, OQMD).

## Properties
The size of the total moment comes out at 0.021 μB per formula unit. As for the space group: Fd-3m. The value obtained for the uncorrected energy is -95.80 eV for the cell shown.

```
CsPt2O6
1.0
0.000 5.094 5.094
5.094 0.000 5.094
5.094 5.094 0.000
Pt O Cs
4 12 2
Cartesian
3.821 6.368 3.821
3.821 3.821 6.368
6.368 6.368 6.368
6.368 3.821 3.821
3.044 5.094 5.094
5.094 5.094 3.044
7.145 5.094 5.094
7.642 5.591 7.642
5.591 7.642 7.642
5.094 3.044 5.094
7.642 7.642 9.692
7.642 9.692 7.642
5.094 7.145 5.094
7.642 7.642 5.591
5.094 5.094 7.145
9.692 7.642 7.642
0.000 0.000 0.000
2.547 2.547 2.547
```